# LiZn2Cl6, optimized geometry, DFT PBE
data_LiZn2Cl6
_symmetry_space_group_name_H-M 'C 1 2/c 1'
_symmetry_Int_Tables_number 15
_symmetry_space_group_name_Hall '-C 2yc'
_cell_length_a 11.848
_cell_length_b 14.830
_cell_length_c 6.454
_cell_angle_alpha 90.00
_cell_angle_beta 104.81
_cell_angle_gamma 90.00
loop_
_atom_site_label
_atom_site_fract_x
_atom_site_fract_y
_atom_site_fract_z
Li1 0.000 0.007 0.250
Zn1 0.202 0.431 0.390
Cl1 0.100 0.315 0.196
Cl2 0.101 0.092 0.560
Cl3 0.156 0.433 0.716
# Formation energy from raw total energies ... -1082 meV per atom
# Magnetic moment ... 1.0 μB per formula unit